Entry 1:
ScAsBr2: relaxed, GGA-PBE.

abc: 8.020 8.020 4.259
angles: 94.79 94.79 26.17
Sites, in units of the cell vectors:
Sc 0.000 0.000 0.000
As 0.500 0.500 0.500
Br 0.358 0.358 0.805
Br 0.642 0.642 0.195

## Properties
- Space group: C2/m
- Relative energy among the computed polymorphs: 29 meV/atom
- Energy: -0.1663 Ha/atom


Entry 2:
ScAsBr2: relaxed, GGA-PBE.

abc: 7.651 7.651 7.651
angles: 152.70 140.01 49.09
Sites, in units of the cell vectors:
Sc 0.000 0.000 0.000
As 0.142 0.642 0.500
Br 0.573 0.573 0.000
Br 0.859 0.359 0.500

## Properties
- Space group: Imm2
- Relative energy among the computed polymorphs: 228 meV/atom
- Energy: -0.1590 Ha/atom


How do the records compare in formation energy without anion corrections? In the order shown, they have -945, -746 meV per atom.